No. 1
{"formula": "LiPd8", "functional": "PBE-GGA", "state": "optimized geometry", "cell": [[-1.313, -1.028, -3.541], [-0.365, -6.179, -0.234], [-6.186, -0.262, 0.207]], "species": ["Li", "Pd", "Pd", "Pd", "Pd", "Pd", "Pd", "Pd", "Pd"], "fractional_positions": [[0.000, 0.000, 0.000], [0.664, 0.000, 0.672], [0.336, 0.000, 0.328], [0.330, 0.670, 0.670], [0.664, 0.672, 0.000], [0.000, 0.670, 0.330], [0.336, 0.328, 0.000], [0.670, 0.330, 0.330], [0.000, 0.330, 0.670]], "spacegroup": "I4/mmm", "ef_kj_per_mol_atoms": -10.8, "energy_ha_per_atom": -0.1815}



No. 2
{"formula": "Ag7PtCl12", "functional": "PBE-GGA", "state": "optimized geometry", "cell": [[6.516, 0.000, 2.283], [-3.818, 8.621, 3.936], [-1.119, 0.000, 10.155]], "species": ["Ag", "Ag", "Ag", "Ag", "Ag", "Ag", "Ag", "Pt", "Cl", "Cl", "Cl", "Cl", "Cl", "Cl", "Cl", "Cl", "Cl", "Cl", "Cl", "Cl"], "fractional_positions": [[0.991, 0.320, 0.140], [0.869, 0.860, 0.460], [0.329, 0.460, 0.680], [0.500, 0.000, 0.000], [0.671, 0.540, 0.320], [0.131, 0.140, 0.540], [0.009, 0.680, 0.860], [0.000, 0.000, 0.000], [0.715, 0.463, 0.115], [0.170, 0.885, 0.578], [0.187, 0.083, 0.133], [0.679, 0.867, 0.216], [0.748, 0.578, 0.537], [0.896, 0.216, 0.917], [0.104, 0.784, 0.083], [0.252, 0.422, 0.463], [0.321, 0.133, 0.784], [0.813, 0.917, 0.867], [0.830, 0.115, 0.422], [0.285, 0.537, 0.885]], "spacegroup": "R-3", "energy_ha_per_atom": -0.1033, "raw_formation_energy_ev_per_atom": -0.40}



No. 3
{"formula": "SrCr4W", "functional": "PBE-GGA", "state": "optimized geometry", "cell": [[1.497, 2.219, 4.293], [-3.372, 2.375, 2.930], [-1.314, -1.984, 4.465]], "species": ["Sr", "Cr", "Cr", "Cr", "Cr", "W"], "fractional_positions": [[0.750, 0.750, 0.750], [0.877, 0.374, 0.374], [0.374, 0.374, 0.877], [0.374, 0.877, 0.374], [0.374, 0.374, 0.374], [0.000, 0.000, 0.000]], "spacegroup": "F-43m", "ef_kj_per_mol_atoms": 77.4, "energy_ha_per_atom": -0.2959}



No. 4
{"formula": "TiIn3Cl6", "functional": "PBE-GGA", "state": "optimized geometry", "cell": [[-3.599, 2.291, -5.565], [-6.328, -4.735, 2.143], [-3.499, 7.572, 6.397]], "species": ["Ti", "Ti", "In", "In", "In", "In", "In", "In", "Cl", "Cl", "Cl", "Cl", "Cl", "Cl", "Cl", "Cl", "Cl", "Cl", "Cl", "Cl"], "fractional_positions": [[0.500, 0.500, 0.500], [0.000, 0.000, 0.000], [0.470, 0.072, 0.769], [0.500, 0.500, 0.000], [0.530, 0.928, 0.231], [0.970, 0.428, 0.269], [0.000, 0.000, 0.500], [0.030, 0.572, 0.731], [0.296, 0.846, 0.973], [0.348, 0.746, 0.570], [0.384, 0.561, 0.279], [0.616, 0.439, 0.721], [0.652, 0.254, 0.430], [0.704, 0.154, 0.027], [0.796, 0.654, 0.473], [0.848, 0.754, 0.070], [0.884, 0.939, 0.779], [0.116, 0.061, 0.221], [0.152, 0.246, 0.930], [0.204, 0.346, 0.527]], "spacegroup": "P2_1/c", "energy_ha_per_atom": -0.1412, "polymorph_energy_ev_per_fu": 0.00, "raw_formation_energy_ev_per_atom": -1.12}



No. 5
{"formula": "PuGeN", "functional": "PBE-GGA", "state": "optimized geometry", "cell": [[3.815, 0.000, 0.612], [0.000, 3.942, 0.000], [0.639, 0.000, 7.035]], "species": ["Pu", "Pu", "Ge", "Ge", "N", "N"], "fractional_positions": [[0.887, 0.134, 0.920], [0.240, 0.634, 0.241], [0.654, 0.133, 0.474], [0.474, 0.634, 0.687], [0.813, 0.634, 0.078], [0.314, 0.134, 0.082]], "spacegroup": "P2_1/m", "energy_ha_per_atom": -0.3641, "polymorph_energy_ev_per_fu": 0.00, "raw_formation_energy_ev_per_atom": -0.82}



No. 6
{"formula": "CuSiSnW2", "functional": "PBE-GGA", "state": "optimized geometry", "cell": [[-0.038, 3.650, 2.869], [-1.443, -2.465, 3.116], [4.363, -0.952, 1.268]], "species": ["Si", "Cu", "Sn", "W", "W"], "fractional_positions": [[0.000, 0.000, 0.000], [0.000, 0.500, 0.000], [0.500, 0.500, 0.500], [0.000, 0.000, 0.500], [0.500, 0.000, 0.000]], "spacegroup": "P4/mmm", "energy_ha_per_atom": -0.2532, "raw_formation_energy_ev_per_atom": 1.00}



No. 7
{"formula": "VGe2Mo", "functional": "PBE-GGA", "state": "optimized geometry", "cell": [[-1.096, -3.824, 5.575], [2.750, -5.411, -3.172], [3.340, -3.914, 2.179]], "species": ["Mo", "Mo", "Ge", "Ge", "Ge", "Ge", "V", "V"], "fractional_positions": [[0.000, 0.000, 0.000], [0.750, 0.250, 0.500], [0.618, 0.125, 0.250], [0.132, 0.625, 0.250], [0.375, 0.382, 0.750], [0.875, 0.868, 0.750], [0.500, 0.500, 0.000], [0.250, 0.750, 0.500]], "spacegroup": "I-42d", "ef_kj_per_mol_atoms": 36.8, "energy_ha_per_atom": -0.2541, "polymorph_energy_ev_per_fu": 1.95}



No. 8
{"formula": "CaLaSnSb2", "functional": "PBE-GGA", "state": "optimized geometry", "cell": [[-0.594, -5.685, 2.150], [2.514, 1.726, 5.257], [-5.528, 1.403, 2.184]], "species": ["Sb", "Sb", "Ca", "Sn", "La"], "fractional_positions": [[0.000, 0.000, 0.500], [0.500, 0.000, 0.000], [0.500, 0.500, 0.500], [0.000, 0.000, 0.000], [0.000, 0.500, 0.000]], "spacegroup": "P4/mmm", "energy_ha_per_atom": -0.1334, "raw_formation_energy_ev_per_atom": 0.20}